[1]
A plane-wave DFT calculation with PBE-GGA was carried out for a relaxed GdErAl2 crystal.

## Properties
Calculated volume, Å³/atom: 23.71
Energy relative to the lowest polymorph listed for this composition, meV per atom: 194.5
Magnetization, Bohr magnetons per cell: 0.04

Unit cell a=5.0448 b=12.1288 c=6.2012 alpha=90.00 beta=90.00 gamma=90.00
Closest atoms and distances in Å follow each position.
Space group Ama2 (No. 40)
Unique sites:
Gd 0.2500 0.1959 0.0000 [4 per cell]  8 Al 3.13-3.49, 3 Er 3.19-3.28
Er 0.2500 0.4239 0.2563 [4 per cell]  5 Al 3.07-3.17, 2 Er 3.13, 3 Gd 3.19-3.28
Al 0.2500 0.1493 0.4968 [4 per cell]  3 Al 2.91-3.11, 3 Er 3.12-3.17, 4 Gd 3.13-3.17
Al 0.2500 0.4412 0.7625 [4 per cell]  5 Al 2.90-3.11, 2 Er 3.07-3.15

=====

[2]
A plane-wave DFT calculation with PBE-GGA was carried out for a relaxed Gd2Er2Al crystal.

## Properties
Calculated volume, Å³/atom: 29.85
Magnetization, Bohr magnetons per cell: 0.67
Uncorrected energy, eV per atom: -4.467

Unit cell a=3.6475 b=7.9208 c=10.3318 alpha=90.00 beta=90.00 gamma=90.00
Closest atoms and distances in Å follow each position.
Space group Immm (No. 71)
Unique sites:
Gd 0.0000 0.0000 0.2484 [4 per cell]  2 Al 3.15, 2 Er 3.50
Er 0.0000 0.2998 0.0000 [4 per cell]  2 Al 2.99, 1 Er 3.17
Al 0.0000 0.5000 0.5000 [2 per cell]  4 Er 2.99, 4 Gd 3.15

=====

[3]
A plane-wave DFT calculation with PBE-GGA was carried out for a relaxed Gd2Er3Al3 crystal.

## Properties
Calculated volume, Å³/atom: 25.98
Energy relative to the lowest polymorph listed for this composition, meV per atom: 26.9
Magnetization, Bohr magnetons per cell: 0.10

Unit cell a=5.3695 b=7.3385 c=10.5507 alpha=90.00 beta=90.00 gamma=90.00
Closest atoms and distances in Å follow each position.
Space group Amm2 (No. 38)
Unique sites:
Gd 0.0000 0.0000 0.0000 [2 per cell]  6 Al 3.06-3.36
Gd 0.5000 0.0000 0.3938 [2 per cell]  4 Al 3.18, 6 Er 3.20-3.41
Er 0.0000 0.0000 0.5936 [2 per cell]  4 Al 3.14-3.45, 4 Er 3.34, 2 Gd 3.41
Er 0.5000 0.2369 0.1388 [4 per cell]  4 Al 3.04-3.40, 2 Gd 3.20-3.23, 2 Er 3.34
Al 0.0000 0.1812 0.2923 [4 per cell]  1 Al 2.66
Al 0.5000 0.0000 0.8617 [2 per cell]  4 Er 3.04-3.40, 2 Gd 3.06

=====

[4]
A plane-wave DFT calculation with PBE-GGA was carried out for a relaxed GdErAl2 crystal.

## Properties
Calculated volume, Å³/atom: 23.32
Energy relative to the lowest polymorph listed for this composition, meV per atom: 0.0
Magnetization, Bohr magnetons per cell: 0.01

Unit cell a=7.1291 b=10.2494 c=5.1053 alpha=90.00 beta=90.00 gamma=90.00
Closest atoms and distances in Å follow each position.
Space group Cmcm (No. 63)
Unique sites:
Gd 0.0000 0.1295 0.2500 [4 per cell]  8 Al 3.11-3.16
Er 0.0000 0.3643 0.7500 [4 per cell]  8 Al 3.08-3.16
Al 0.2408 0.3857 0.2500 [8 per cell]  4 Er 3.08-3.16, 4 Gd 3.11-3.16, 1 Al 3.43

=====

[5]
A plane-wave DFT calculation with PBE-GGA was carried out for a relaxed Gd2ErAl3NiGe2 crystal.

## Properties
Calculated volume, Å³/atom: 19.54
Magnetization, Bohr magnetons per cell: 0.00
Uncorrected energy, eV per atom: -5.178

Unit cell a=4.1933 b=12.0469 c=6.9614 alpha=90.00 beta=90.00 gamma=90.00
Closest atoms and distances in Å follow each position.
Space group Amm2 (No. 38)
Unique sites:
Gd 0.0000 0.2014 0.0000 [4 per cell]  1 Ni 2.82, 4 Ge 2.99
Er 0.0000 0.0000 0.6039 [2 per cell]  1 Ni 2.77, 4 Ge 2.96
Al 0.5000 0.0000 0.9729 [2 per cell]  2 Ni 2.65, 2 Ge 2.74, 2 Al 2.76
Al 0.5000 0.1138 0.3173 [4 per cell]  2 Ni 2.62, 2 Ge 2.74-2.79, 2 Al 2.74-2.76
Ni 0.0000 0.0000 0.2062 [2 per cell]  6 Al 2.62-2.65, 1 Er 2.77, 2 Gd 2.82
Ge 0.5000 0.1644 0.7009 [4 per cell]  3 Al 2.74-2.79, 2 Er 2.96, 4 Gd 2.99

=====

[6]
A plane-wave DFT calculation with PBE-GGA was carried out for a relaxed GdHoEr2Al2 crystal.

## Properties
Calculated volume, Å³/atom: 25.94
Magnetization, Bohr magnetons per cell: 0.01
Uncorrected energy, eV per atom: -4.584

Unit cell a=5.2128 b=5.2128 c=6.6138 alpha=90.00 beta=90.00 gamma=120.00
Closest atoms and distances in Å follow each position.
Space group P-6m2 (No. 187)
Unique sites:
Gd 0.0000 0.0000 0.0000 [1 per cell]  5 Al 3.01-3.31
Ho 0.6667 0.3333 0.5000 [1 per cell]  5 Al 3.01-3.31
Er 0.3333 0.6667 0.2515 [2 per cell]  2 Er 3.29-3.33, 6 Al 3.43-3.44, 3 Ho 3.43, 3 Gd 3.44
Al 0.0000 0.0000 0.5000 [1 per cell]  3 Ho 3.01, 2 Gd 3.31
Al 0.6667 0.3333 0.0000 [1 per cell]  3 Gd 3.01, 2 Ho 3.31